# LaHoGa2Au4

A geometry-optimized LaHoGa2Au4 structure (PBE-GGA, Alexandria via LeMat-Bulk).

Unit cell a=4.9376 b=4.9376 c=24.3446 alpha=90.00 beta=90.00 gamma=120.00
Space group R-3m (No. 166, hexagonal axes)
One atom of each set of equivalent atoms:
La 0.0000 0.0000 0.0000
Ho 0.0000 0.0000 0.5000
Ga 0.0000 0.0000 0.2503
Au 0.0000 0.0000 0.1343
Au 0.0000 0.0000 0.3824

## Properties
Its formation enthalpy at 0 K is -0.6444 eV per atom. The value obtained for the density of states at the Fermi level is 16.825 states/eV per cell. As for the total magnetization: 0.0 μB per formula unit.

---

# YAl2Ni

A geometry-optimized YAl2Ni structure (PBE-GGA, Alexandria via LeMat-Bulk).

Unit cell a=3.0634 b=3.0634 c=7.3155 alpha=90.00 beta=90.00 gamma=90.00
Space group P4/mmm (No. 123)
One atom of each set of equivalent atoms:
Y 0.0000 0.0000 0.0000
Al 0.5000 0.5000 0.3134
Ni 0.0000 0.0000 0.5000

## Properties
Its formation enthalpy at 0 K is -0.4484 eV per atom. The value obtained for the density of states at the Fermi level is 1.950 states/eV per cell. As for the total magnetization: 0.0 μB per formula unit.

---

Among the records above, which one has the highest formation enthalpy at 0 K? YAl2Ni